# SiIrPb2 (GGA-PBE, relaxed)
data_SiIrPb2
_cell_length_a 6.566
_cell_length_b 7.949
_cell_length_c 3.285
_cell_angle_alpha 90.00
_cell_angle_beta 90.00
_cell_angle_gamma 90.00
_space_group_name_H-M_alt 'C m m m'
_space_group_IT_number 65
_space_group_name_Hall '-C 2 2'
loop_
_atom_site_label
_atom_site_type_symbol
_atom_site_fract_x
_atom_site_fract_y
_atom_site_fract_z
Si1 Si 0.000 0.000 0.000
Ir1 Ir 0.000 0.500 0.000
Pb1 Pb 0.250 0.250 0.500
# Uncorrected formation energy: 615.5 meV/atom
# Fermi-level density of states: 2.49 states/eV/f.u.
# M_tot: 0.0 μB/cell